[1]
First-principles (PBE) data for a geometry-optimized DyHg3S4Br structure, as listed in OQMD via LeMat-Bulk.

Cell lengths 7.9630, 7.9630, 8.2019 Å; angles 90.00, 90.00, 120.00 degrees
Space group P6_3mc (No. 186)
Asymmetric unit:
Dy: 0.0000 0.0000 0.0000
Hg: 0.0144 0.5072 0.1746
S: 0.1407 0.2815 0.7431
S: 0.3333 0.6667 0.0194
Br: 0.3333 0.6667 0.4446

Computed properties:
* mass density: 7.17 g/cm³
* crystal system: hexagonal
* total magnetization: 0.0 Bohr magnetons per cell
* total energy: -0.119 hartree per atom

=====

[2]
First-principles (PBE) data for a geometry-optimized CoTcPt2 structure, as listed in OQMD via LeMat-Bulk.

Cell lengths 6.1464, 6.1464, 6.1464 Å; angles 90.00, 90.00, 90.00 degrees
Space group F-43m (No. 216)
Asymmetric unit:
Co: 0.0000 0.0000 0.0000
Tc: 0.2500 0.2500 0.7500
Pt: 0.0000 0.0000 0.5000
Pt: 0.2500 0.2500 0.2500

Computed properties:
* mass density: 15.65 g/cm³
* relative energy among the computed polymorphs: 0 meV/atom
* crystal system: cubic
* E_form: 0.1868 eV/atom
* total magnetization: 8.5 Bohr magnetons per cell
* total energy: -0.265 hartree per atom

=====

[3]
First-principles (PBE) data for a geometry-optimized YBeTcW structure, as listed in OQMD via LeMat-Bulk.

Cell lengths 6.3997, 6.3997, 6.3997 Å; angles 90.00, 90.00, 90.00 degrees
Space group F-43m (No. 216)
Asymmetric unit:
Y: 0.0000 0.0000 0.0000
Be: 0.2500 0.2500 0.2500
Tc: 0.0000 0.0000 0.5000
W: 0.2500 0.2500 0.7500

Computed properties:
* mass density: 9.62 g/cm³
* relative energy among the computed polymorphs: 24 meV/atom
* crystal system: cubic
* total magnetization: 0.0 Bohr magnetons per cell
* total energy: -0.297 hartree per atom

=====

[4]
First-principles (PBE) data for a geometry-optimized MgGaFePt structure, as listed in OQMD via LeMat-Bulk.

Cell lengths 6.1579, 6.1579, 6.1579 Å; angles 90.00, 90.00, 90.00 degrees
Space group F-43m (No. 216)
Asymmetric unit:
Mg: 0.0000 0.0000 0.0000
Ga: 0.0000 0.0000 0.5000
Fe: 0.2500 0.2500 0.7500
Pt: 0.2500 0.2500 0.2500

Computed properties:
* mass density: 9.81 g/cm³
* relative energy among the computed polymorphs: 0 meV/atom
* crystal system: cubic
* total magnetization: 8.2 Bohr magnetons per cell
* total energy: -0.186 hartree per atom

=====

[5]
First-principles (PBE) data for a geometry-optimized SrTcAs structure, as listed in OQMD via LeMat-Bulk.

Cell lengths 7.0535, 7.0535, 7.0535 Å; angles 90.00, 90.00, 90.00 degrees
Space group F-43m (No. 216)
Asymmetric unit:
Sr: 0.0000 0.0000 0.0000
Tc: 0.2500 0.2500 0.2500
As: 0.2500 0.2500 0.7500

Computed properties:
* mass density: 4.93 g/cm³
* relative energy among the computed polymorphs: 885 meV/atom
* crystal system: cubic
* total magnetization: 15.4 Bohr magnetons per cell
* total energy: -0.160 hartree per atom

=====

[6]
First-principles (PBE) data for a geometry-optimized Tm3Mg3GaIr2 structure, as listed in OQMD via LeMat-Bulk.

Cell lengths 7.2174, 7.2174, 4.1175 Å; angles 90.00, 90.00, 120.00 degrees
Space group P-62m (No. 189)
Asymmetric unit:
Tm: 0.0000 0.4214 0.0000
Mg: 0.0000 0.7499 0.5000
Ga: 0.0000 0.0000 0.0000
Ir: 0.3333 0.6667 0.5000

Computed properties:
* mass density: 9.24 g/cm³
* crystal system: hexagonal
* total magnetization: 0.0 Bohr magnetons per cell
* total energy: -0.180 hartree per atom